[1]
A geometry-optimized Na3Y3BiTe8 structure, computed with GGA-PBE.

Cell lengths 8.770, 8.791, 9.204 Å; angles 118.66, 90.00, 119.92 degrees
Positions (direct):
Na: 0.000 0.000 0.000
Na: 0.000 0.500 0.000
Na: 0.500 0.500 0.000
Y: 0.500 0.000 0.500
Y: 0.500 0.500 0.500
Y: 0.000 0.500 0.500
Bi: 0.000 0.000 0.500
Te: 0.256 0.511 0.267
Te: 0.744 0.489 0.733
Te: 0.751 0.502 0.265
Te: 0.249 0.498 0.735
Te: 0.751 0.014 0.265
Te: 0.249 0.986 0.735
Te: 0.263 0.014 0.265
Te: 0.737 0.986 0.735

Summary:
The crystal system is monoclinic. The density is 5.07 g/cm³. As for the space group: C2/m, No. 12. The uncorrected formation energy comes out at -1.06 eV/atom.

---

[2]
A geometry-optimized Y3PbO structure, computed with GGA-PBE.

Cell lengths 7.075, 5.340, 7.078 Å; angles 90.00, 76.82, 90.00 degrees
Positions (direct):
Y: 0.893 0.367 0.799
Y: 0.675 0.867 0.586
Y: 0.386 0.373 0.877
Y: 0.962 0.362 0.293
Y: 0.182 0.873 0.508
Y: 0.605 0.862 0.092
Pb: 0.464 0.368 0.375
Pb: 0.104 0.868 0.009
O: 0.637 0.117 0.841
O: 0.931 0.617 0.544

Summary:
The crystal system is monoclinic. The density is 6.25 g/cm³. As for the space group: P2_1, No. 4. The uncorrected formation energy comes out at -1.41 eV/atom.

---

[3]
A geometry-optimized Rb2Sc2Cu structure, computed with GGA-PBE.

Cell lengths 4.191, 4.191, 9.913 Å; angles 77.79, 77.79, 90.00 degrees
Site moments in Bohr magnetons follow the coordinates.
Positions (direct):
Sc: 0.430 0.430 0.140  0.14
Sc: 0.570 0.570 0.860  0.14
Cu: 0.000 0.000 0.000  0.01
Rb: 0.750 0.250 0.500  0.01
Rb: 0.250 0.750 0.500  0.01

Summary:
The crystal system is tetragonal. The density is 3.24 g/cm³. As for the space group: I4/mmm, No. 139. The value obtained for the relative energy among the computed polymorphs is 559.4 meV per atom. The energy of formation from the pure elements is 1.116 eV per atom.

---

[4]
A geometry-optimized Na3CaHg6 structure, computed with GGA-PBE.

Cell lengths 5.223, 9.086, 11.572 Å; angles 110.52, 90.00, 90.00 degrees
Positions (direct):
Na: 0.250 0.516 0.414
Na: 0.750 0.484 0.586
Na: 0.250 0.356 0.828
Na: 0.750 0.644 0.172
Na: 0.250 0.755 0.029
Na: 0.750 0.245 0.971
Ca: 0.250 0.937 0.632
Ca: 0.750 0.063 0.368
Hg: 0.250 0.431 0.121
Hg: 0.750 0.569 0.879
Hg: 0.250 0.134 0.224
Hg: 0.750 0.866 0.776
Hg: 0.250 0.636 0.725
Hg: 0.750 0.364 0.275
Hg: 0.250 0.243 0.536
Hg: 0.750 0.757 0.464
Hg: 0.250 0.822 0.330
Hg: 0.750 0.178 0.670
Hg: 0.250 0.049 0.928
Hg: 0.750 0.951 0.072

Summary:
The crystal system is monoclinic. The density is 8.48 g/cm³. As for the space group: P2_1/m, No. 11. The energy of formation from the pure elements is -0.287 eV per atom.

---

[5]
A geometry-optimized LaAsAuBr2 structure, computed with GGA-PBE.

Cell lengths 5.711, 5.711, 6.272 Å; angles 90.00, 90.00, 90.00 degrees
Site moments in Bohr magnetons follow the coordinates.
Positions (direct):
As: 0.000 0.000 0.500  0.60
Au: 0.500 0.500 0.500  -0.15
Br: 0.000 0.500 0.000  0.01
Br: 0.500 0.000 0.000  0.01
La: 0.000 0.000 0.000  0.03

Summary:
The crystal system is tetragonal. The density is 4.63 g/cm³. As for the space group: P4/mmm, No. 123. The value obtained for the relative energy among the computed polymorphs is 56.3 meV per atom. The uncorrected formation energy comes out at -0.33 eV/atom.

---

[6]
A geometry-optimized NpPaS2N structure, computed with GGA-PBE.

Cell lengths 3.842, 3.842, 13.546 Å; angles 90.00, 90.00, 90.00 degrees
Site moments in Bohr magnetons follow the coordinates.
Positions (direct):
Np: 0.500 0.000 0.108  4.01
Np: 0.000 0.500 0.892  4.01
Pa: 0.500 0.000 0.591  0.39
Pa: 0.000 0.500 0.409  0.39
S: 0.000 0.500 0.689  -0.04
S: 0.000 0.500 0.099  -0.11
S: 0.500 0.000 0.901  -0.11
S: 0.500 0.000 0.311  -0.04
N: 0.000 0.000 0.500  -0.03
N: 0.500 0.500 0.500  -0.03

Summary:
The crystal system is tetragonal. The density is 9.07 g/cm³. As for the space group: P4/nmm, No. 129. The uncorrected formation energy comes out at -1.63 eV/atom.

---

[7]
A geometry-optimized Zr2ZnO5 structure, computed with GGA-PBE.

Cell lengths 5.970, 5.970, 8.010 Å; angles 68.10, 68.10, 89.97 degrees
Positions (direct):
Zr: 0.500 0.000 0.000
Zr: 0.500 0.500 0.000
Zr: 0.500 0.500 0.500
Zr: 0.000 0.500 0.500
Zn: 0.875 0.125 0.250
Zn: 0.125 0.875 0.750
O: 0.625 0.375 0.750
O: 0.375 0.625 0.250
O: 0.325 0.798 0.905
O: 0.797 0.770 0.405
O: 0.798 0.325 0.405
O: 0.230 0.203 0.095
O: 0.770 0.797 0.905
O: 0.203 0.230 0.595
O: 0.202 0.675 0.595
O: 0.675 0.202 0.095

Summary:
The crystal system is tetragonal. The density is 4.49 g/cm³. As for the space group: I4_1/amd, No. 141. The uncorrected formation energy comes out at -2.62 eV/atom.

---

[8]
A geometry-optimized KGeIO2 structure, computed with GGA-PBE.

Cell lengths 4.682, 4.682, 6.475 Å; angles 90.00, 90.00, 90.00 degrees
Site moments in Bohr magnetons follow the coordinates.
Positions (direct):
I: 0.000 0.000 0.500  0.01
Ge: 0.500 0.500 0.500  -0.21
K: 0.000 0.000 0.000  0.05
O: 0.000 0.500 0.000  0.99
O: 0.500 0.000 0.000  0.99

Summary:
The crystal system is tetragonal. The density is 3.17 g/cm³. As for the space group: P4/mmm, No. 123. The value obtained for the relative energy among the computed polymorphs is 1170.6 meV per atom. The uncorrected formation energy comes out at 0.58 eV/atom.

---

[9]
A geometry-optimized Pm6PbS8 structure, computed with GGA-PBE.

Cell lengths 8.053, 8.053, 8.053 Å; angles 95.51, 95.51, 95.51 degrees
Site moments in Bohr magnetons follow the coordinates.
Positions (direct):
Pm: 0.642 0.436 0.812  0.03
Pm: 0.436 0.812 0.642  0.03
Pm: 0.812 0.642 0.436  0.03
Pm: 0.358 0.564 0.188  0.03
Pm: 0.564 0.188 0.358  0.03
Pm: 0.188 0.358 0.564  0.03
Pb: 0.000 0.000 0.000  0.47
S: 0.758 0.758 0.758  0.00
S: 0.242 0.242 0.242  0.00
S: 0.569 0.846 0.333  0.01
S: 0.846 0.333 0.569  0.01
S: 0.333 0.569 0.846  0.01
S: 0.431 0.154 0.667  0.01
S: 0.154 0.667 0.431  0.01
S: 0.667 0.431 0.154  0.01

Summary:
The crystal system is trigonal. The density is 4.30 g/cm³. As for the space group: R-3, No. 148. The uncorrected formation energy comes out at -1.65 eV/atom.

---

[10]
A geometry-optimized ScCdSb2 structure, computed with GGA-PBE.

Cell lengths 10.703, 10.703, 10.703 Å; angles 18.29, 18.29, 18.29 degrees
Positions (direct):
Cd: 0.754 0.754 0.754
Sb: 0.012 0.012 0.012
Sb: 0.237 0.237 0.237
Sc: 0.496 0.496 0.496

Summary:
The crystal system is trigonal. The density is 6.31 g/cm³. As for the space group: R3m, No. 160. The uncorrected formation energy comes out at -0.06 eV/atom.

---

[11]
A geometry-optimized MgBTe3 structure, computed with GGA-PBE.

Cell lengths 5.444, 5.444, 5.444 Å; angles 90.00, 90.00, 90.00 degrees
Positions (direct):
Mg: 0.000 0.000 0.000
Te: 0.000 0.500 0.000
Te: 0.000 0.000 0.500
Te: 0.500 0.000 0.000
B: 0.500 0.500 0.500

Summary:
The crystal system is cubic. The density is 4.30 g/cm³. As for the space group: Pm-3m, No. 221. The value obtained for the relative energy among the computed polymorphs is 646.8 meV per atom. The uncorrected formation energy comes out at 1.13 eV/atom.

---

Number 1: total magnetization 0.00 μB per cell, density of states at the Fermi level 0.71 states/eV per atom. Number 2: total magnetization 0.00 μB per cell, density of states at the Fermi level 0.91 states/eV per atom. Number 3: total magnetization 0.55 μB per cell, density of states at the Fermi level 1.66 states/eV per atom. Number 4: total magnetization 0.00 μB per cell, density of states at the Fermi level 0.42 states/eV per atom. Number 5: total magnetization 1.17 μB per cell, density of states at the Fermi level 0.28 states/eV per atom. Number 6: total magnetization 9.45 μB per cell, density of states at the Fermi level 1.95 states/eV per atom. Number 7: total magnetization 0.00 μB per cell, density of states at the Fermi level 0.00 states/eV per atom. Number 8: total magnetization 2.01 μB per cell, density of states at the Fermi level 0.53 states/eV per atom. Number 9: total magnetization 2.00 μB per cell, density of states at the Fermi level 0.09 states/eV per atom. Number 10: total magnetization 0.00 μB per cell, density of states at the Fermi level 0.98 states/eV per atom. Number 11: total magnetization 0.00 μB per cell, density of states at the Fermi level 1.20 states/eV per atom.